Entry 1:
Cs2LiAl3F12: PBEsol geometry, SCAN.

The crystal system is trigonal. The spin magnetization comes out at 0.23 Bohr magnetons per cell. As for the uncorrected formation energy: -3649 meV per atom.

abc: 7.067 7.067 7.067
angles: 59.30 59.30 59.30
Positions (direct):
Cs 0.127 0.127 0.127
Cs 0.873 0.873 0.873
Li 0.500 0.500 0.500
Al 0.000 0.500 0.500
Al 0.500 0.000 0.500
Al 0.500 0.500 0.000
F 0.154 0.572 0.572
F 0.192 0.192 0.570
F 0.192 0.570 0.192
F 0.428 0.428 0.846
F 0.428 0.846 0.428
F 0.430 0.808 0.808
F 0.570 0.192 0.192
F 0.572 0.154 0.572
F 0.572 0.572 0.154
F 0.808 0.430 0.808
F 0.808 0.808 0.430
F 0.846 0.428 0.428

Entry 2:
BeSi2: PBEsol geometry, SCAN.

The crystal system is orthorhombic. For the relative energy among the computed polymorphs, the calculation gives 0.00 kcal/mol of atoms. The spin magnetization comes out at 0.00 Bohr magnetons per cell. As for the uncorrected formation energy: 507 meV per atom.

abc: 5.707 5.707 4.168
angles: 90.00 90.00 146.18
Positions (direct):
Be 0.113 0.887 0.750
Be 0.887 0.113 0.250
Si 0.224 0.776 0.250
Si 0.445 0.555 0.750
Si 0.555 0.445 0.250
Si 0.776 0.224 0.750

Entry 3:
BaCa2SbCl: PBEsol geometry, SCAN.

The crystal system is tetragonal. The spin magnetization comes out at 1.00 Bohr magnetons per cell. As for the uncorrected formation energy: 413 meV per atom.

abc: 6.991 6.991 5.835
angles: 90.00 90.00 90.00
Positions (direct):
Ba 0.000 0.000 0.000
Ca 0.000 0.500 0.000
Ca 0.500 0.000 0.000
Sb 0.000 0.000 0.500
Cl 0.500 0.500 0.500

Entry 4:
Zr3PBr: PBEsol geometry, SCAN.

The crystal system is cubic. The spin magnetization comes out at 0.00 Bohr magnetons per cell. As for the uncorrected formation energy: -21 meV per atom.

abc: 4.891 4.891 4.891
angles: 90.00 90.00 90.00
Positions (direct):
Zr 0.000 0.000 0.500
Zr 0.000 0.500 0.000
Zr 0.500 0.000 0.000
P 0.000 0.000 0.000
Br 0.500 0.500 0.500

Entry 5:
BiPNO2: PBEsol geometry, SCAN.

The crystal system is tetragonal. The spin magnetization comes out at 0.75 Bohr magnetons per cell. As for the uncorrected formation energy: 982 meV per atom.

abc: 4.110 4.110 4.314
angles: 90.00 90.00 90.00
Positions (direct):
Bi 0.000 0.000 0.000
P 0.500 0.500 0.500
N 0.000 0.000 0.500
O 0.000 0.500 0.000
O 0.500 0.000 0.000

Entry 6:
MgIrRu: PBEsol geometry, SCAN.

The crystal system is cubic. For the relative energy among the computed polymorphs, the calculation gives 4.72 kcal/mol of atoms. The energy relative to the elements comes out at 0.4 eV/f.u. The spin magnetization comes out at 0.00 Bohr magnetons per cell.

abc: 4.164 4.164 4.164
angles: 60.00 60.00 60.00
Positions (direct):
Mg 0.000 0.000 0.000
Ir 0.250 0.250 0.250
Ru 0.500 0.500 0.500

Entry 7:
InCoSnS2: PBEsol geometry, SCAN.

The crystal system is tetragonal. The spin magnetization comes out at 3.38 Bohr magnetons per cell. As for the uncorrected formation energy: 930 meV per atom.

abc: 4.955 4.955 5.491
angles: 90.00 90.00 90.00
Positions (direct):
In 0.000 0.000 0.000
Co 0.500 0.500 0.000
Sn 0.000 0.000 0.500
S 0.000 0.500 0.500
S 0.500 0.000 0.500

Entry 8:
BaTc2: PBEsol geometry, SCAN.

The crystal system is cubic. For the relative energy among the computed polymorphs, the calculation gives 39.00 kcal/mol of atoms. The energy relative to the elements comes out at 8.0 eV/f.u. The spin magnetization comes out at 0.00 Bohr magnetons per cell.

abc: 4.472 4.472 4.472
angles: 60.00 60.00 60.00
Positions (direct):
Ba 0.000 0.000 0.000
Tc 0.250 0.250 0.250
Tc 0.750 0.750 0.750

Entry 9:
LiTaP2: PBEsol geometry, SCAN.

The crystal system is tetragonal. For the relative energy among the computed polymorphs, the calculation gives 3.97 kcal/mol of atoms. The energy relative to the elements comes out at -1.7 eV/f.u. The spin magnetization comes out at 0.00 Bohr magnetons per cell.

abc: 3.461 3.461 4.947
angles: 90.00 90.00 90.00
Positions (direct):
Li 0.000 0.000 0.000
Ta 0.500 0.500 0.656
P 0.000 0.000 0.501
P 0.500 0.500 0.127

Entry 10:
ScTaMo2: PBEsol geometry, SCAN.

The crystal system is monoclinic. For the relative energy among the computed polymorphs, the calculation gives 0.00 kcal/mol of atoms. The energy relative to the elements comes out at 0.4 eV/f.u. The spin magnetization comes out at 0.00 Bohr magnetons per cell.

abc: 2.795 4.440 5.469
angles: 90.00 98.10 90.00
Positions (direct):
Sc 0.000 0.000 0.000
Ta 0.500 0.000 0.500
Mo 0.262 0.500 0.746
Mo 0.738 0.500 0.254

Entry 11:
ZnMoW2: PBEsol geometry, SCAN.

The crystal system is cubic. The energy relative to the elements comes out at 1.3 eV/f.u. The spin magnetization comes out at 0.00 Bohr magnetons per cell.

abc: 4.403 4.403 4.403
angles: 60.00 60.00 60.00
Positions (direct):
Zn 0.000 0.000 0.000
Mo 0.250 0.250 0.250
W 0.500 0.500 0.500
W 0.750 0.750 0.750

Entry 12:
AlPIr: PBEsol geometry, SCAN.

The crystal system is hexagonal. The energy relative to the elements comes out at -1.2 eV/f.u. The spin magnetization comes out at 0.00 Bohr magnetons per cell.

abc: 4.107 4.107 2.840
angles: 90.00 90.00 120.00
Positions (direct):
Al 0.000 0.000 0.000
P 0.667 0.333 0.500
Ir 0.333 0.667 0.500

no.,total DFT energy (no corrections) (eV per atom)
1,-11.635
2,-7.622
3,-20.411
4,-24.412
5,-21.165
6,-36.833
7,-20.243
8,-33.900
9,-22.872
10,-37.557
11,-46.619
12,-30.152